# TaBAs2

Crystalline TaBAs2 at its relaxed geometry (PBE, Alexandria via LeMat-Bulk).

Lattice parameters (Å, degrees): 5.838 5.838 5.838 120.07 120.07 89.88
Element x y z (fractional)
Ta 0.000 0.000 0.000
Ta 0.750 0.250 0.500
B 0.250 0.750 0.500
B 0.500 0.500 0.000
As 0.201 0.625 0.076
As 0.375 0.451 0.576
As 0.549 0.125 0.924
As 0.875 0.799 0.424

Results
Uncorrected energy ... -6.5395 eV/atom
SG ... I-42d (122)

# TaB3As

Crystalline TaB3As at its relaxed geometry (PBE, Alexandria via LeMat-Bulk).

Lattice parameters (Å, degrees): 4.303 4.303 4.303 90.00 90.00 90.00
Element x y z (fractional)
Ta 0.000 0.000 0.000
B 0.000 0.000 0.500
B 0.000 0.500 0.000
B 0.500 0.000 0.000
As 0.500 0.500 0.500

Results
SG ... Pm-3m (221)
ΔE to the lowest computed polymorph ... 0 meV/atom

# TaB2As

Crystalline TaB2As at its relaxed geometry (PBE, Alexandria via LeMat-Bulk).

Lattice parameters (Å, degrees): 5.512 5.512 5.512 121.73 121.73 87.03
Element x y z (fractional)
Ta 0.000 0.000 0.000
Ta 0.750 0.250 0.500
B 0.152 0.625 0.027
B 0.375 0.402 0.527
B 0.598 0.125 0.973
B 0.875 0.848 0.473
As 0.250 0.750 0.500
As 0.500 0.500 0.000

Results
Uncorrected energy ... -6.8592 eV/atom
SG ... I-42d (122)

# Ta2TiBAs

Crystalline Ta2TiBAs at its relaxed geometry (PBE, Alexandria via LeMat-Bulk).

Lattice parameters (Å, degrees): 4.843 4.843 3.876 90.00 90.00 90.00
Element x y z (fractional)
Ta 0.000 0.500 0.000
Ta 0.500 0.000 0.000
Ti 0.000 0.000 0.500
B 0.500 0.500 0.500
As 0.500 0.500 0.000

Results
Uncorrected energy ... -7.4230 eV/atom
SG ... P4/mmm (123)

# Ta2VBAs

Crystalline Ta2VBAs at its relaxed geometry (PBE, Alexandria via LeMat-Bulk).

Lattice parameters (Å, degrees): 4.760 4.760 3.802 90.00 90.00 90.00
Element x y z (fractional)
Ta 0.000 0.500 0.000
Ta 0.500 0.000 0.000
V 0.000 0.000 0.000
B 0.000 0.000 0.500
As 0.500 0.500 0.500

Results
Uncorrected energy ... -7.7309 eV/atom
SG ... P4/mmm (123)

# TaVBAs2

Crystalline TaVBAs2 at its relaxed geometry (PBE, Alexandria via LeMat-Bulk).

Lattice parameters (Å, degrees): 4.957 4.957 4.254 90.00 90.00 90.00
Element x y z (fractional)
Ta 0.000 0.000 0.000
V 0.500 0.500 0.500
B 0.000 0.000 0.500
As 0.000 0.500 0.000
As 0.500 0.000 0.000

Results
Uncorrected energy ... -6.2486 eV/atom
SG ... P4/mmm (123)

# YTa2BAs

Crystalline YTa2BAs at its relaxed geometry (PBE, Alexandria via LeMat-Bulk).

Lattice parameters (Å, degrees): 4.716 4.716 5.288 90.00 90.00 90.00
Element x y z (fractional)
Y 0.000 0.000 0.000
Ta 0.000 0.500 0.500
Ta 0.500 0.000 0.500
B 0.500 0.500 0.000
As 0.000 0.000 0.500

Results
Uncorrected energy ... -6.9362 eV/atom
SG ... P4/mmm (123)

# Y2TaBAs

Crystalline Y2TaBAs at its relaxed geometry (PBE, Alexandria via LeMat-Bulk).

Lattice parameters (Å, degrees): 4.977 4.977 4.323 90.00 90.00 90.00
Element x y z (fractional)
Y 0.000 0.500 0.000
Y 0.500 0.000 0.000
Ta 0.000 0.000 0.500
B 0.000 0.000 0.000
As 0.500 0.500 0.500

Results
Uncorrected energy ... -7.4424 eV/atom
SG ... P4/mmm (123)

no.,DOS(E_F) (states/eV/f.u.)
1,3.59
2,2.01
3,2.08
4,3.78
5,5.32
6,5.73
7,6.53
8,4.04